#w
DFT (PBE) results for crystalline Dy2Ho3Sc7 at its relaxed geometry.

Summary:
The calculation puts the magnetic moment at 0.00 μB/f.u.

Cell: 5.4438 3.4136 17.6809 Å, 90.00 92.94 90.00°
Positions (direct):
Dy  0.2097  0.0000  0.2904
Dy  0.7903  0.0000  0.7096
Ho  0.0000  0.0000  0.0000
Ho  0.2759  0.5000  0.6304
Ho  0.7241  0.5000  0.3696
Sc  0.1958  0.5000  0.1410
Sc  0.2432  0.0000  0.4626
Sc  0.3032  0.0000  0.8276
Sc  0.5000  0.5000  0.0000
Sc  0.6968  0.0000  0.1724
Sc  0.7568  0.0000  0.5374
Sc  0.8042  0.5000  0.8590

***

#x
DFT (PBE) results for crystalline Dy2Ho3Sc7 at its relaxed geometry.

Summary:
The calculation puts the magnetic moment at 1.30 μB/f.u.

Cell: 3.5133 5.2632 18.9086 Å, 90.00 95.33 90.00°
Positions (direct):
Dy  0.1367  0.0000  0.2731
Dy  0.8633  0.0000  0.7269
Ho  0.0000  0.0000  0.0000
Ho  0.3269  0.5000  0.6540
Ho  0.6731  0.5000  0.3460
Sc  0.0812  0.5000  0.1621
Sc  0.2164  0.0000  0.4328
Sc  0.4329  0.0000  0.8663
Sc  0.5000  0.5000  0.0000
Sc  0.5671  0.0000  0.1337
Sc  0.7836  0.0000  0.5672
Sc  0.9188  0.5000  0.8379

***

Computed relative energies in units of meV/atom: #w 0; #x 160

***

#w
DFT (PBE) results for crystalline DyHoSc2 at its relaxed geometry.

Summary:
The calculation puts the magnetic moment at 0.00 μB/f.u.

Cell: 3.4470 3.4470 9.3314 Å, 90.00 90.00 90.00°
Positions (direct):
Dy  0.0000  0.0000  0.0000
Ho  0.0000  0.0000  0.5000
Sc  0.5000  0.5000  0.2504
Sc  0.5000  0.5000  0.7496

***

#x
DFT (PBE) results for crystalline DyHoSc2 at its relaxed geometry.

Summary:
The calculation puts the magnetic moment at 0.00 μB/f.u.

Cell: 3.4161 3.4161 10.9183 Å, 90.00 90.00 120.00°
Positions (direct):
Dy  0.0000  0.0000  0.0000
Ho  0.0000  0.0000  0.5000
Sc  0.3333  0.6667  0.7496
Sc  0.6667  0.3333  0.2504

***

Computed relative energies in units of meV/atom: #w 7; #x 0